[1]
This record from Alexandria via LeMat-Bulk describes crystalline LaPmMgBi at its relaxed geometry. The functional is PBE.

Lattice parameters (Å, degrees): 7.8965 7.8965 7.8965 90.00 90.00 90.00
Space group F-43m (No. 216)
Symmetry-distinct sites (fractional):
La  0.0000  0.0000  0.0000 [4 per cell]
Pm  0.0000  0.0000  0.5000 [4 per cell]
Mg  0.2500  0.2500  0.7500 [4 per cell]
Bi  0.2500  0.2500  0.2500 [4 per cell]

Properties
**Magnetization**: 0.0000 μB per atom
**E_tot**: -4.1863 eV per atom
**Formation energy**: -0.40 eV/atom

***

[2]
This record from Alexandria via LeMat-Bulk describes crystalline KCo2As at its relaxed geometry. The functional is PBE.

Lattice parameters (Å, degrees): 7.1683 4.1376 6.4631 90.00 111.91 90.00
Space group C2/m (No. 12)
Symmetry-distinct sites (fractional):
K  0.0000  0.0000  0.0000 [2 per cell]
Co  0.1728  0.0000  0.5181 [4 per cell]
As  0.0000  0.5000  0.5000 [2 per cell]

Properties
**Magnetization**: 0.7918 μB per atom
**E_tot**: -5.0110 eV per atom
**Formation energy**: -0.02 eV/atom

***

[3]
This record from Alexandria via LeMat-Bulk describes crystalline Th2HgIrAu at its relaxed geometry. The functional is PBE.

Lattice parameters (Å, degrees): 8.2042 4.0292 8.3820 90.00 113.17 90.00
Space group P2_1/m (No. 11)
Symmetry-distinct sites (fractional):
Th  0.1370  0.2500  0.3651 [2 per cell]
Th  0.2938  0.2500  0.0131 [2 per cell]
Hg  0.2892  0.7500  0.7012 [2 per cell]
Ir  0.1061  0.7500  0.1161 [2 per cell]
Au  0.4631  0.7500  0.3543 [2 per cell]

Properties
**Magnetization**: 0.0000 μB per atom
**E_tot**: -6.0543 eV per atom
**Formation energy**: -0.60 eV/atom

***

[4]
This record from Alexandria via LeMat-Bulk describes crystalline Ba2OF2 at its relaxed geometry. The functional is PBE.

Lattice parameters (Å, degrees): 6.6990 11.2035 6.5944 90.00 90.00 90.00
Space group Ibam (No. 72)
Symmetry-distinct sites (fractional):
Ba  0.1830  0.1362  0.0000 [8 per cell]
O  0.0000  0.0000  0.2500 [4 per cell]
F  0.0000  0.2984  0.2500 [8 per cell]

Properties
**ΔE_f (raw)**: -3.2641 eV per atom
**Magnetization**: 0.0149 μB per atom
**E_tot**: -5.7734 eV per atom

***

[5]
This record from Alexandria via LeMat-Bulk describes crystalline Ba2InPd2 at its relaxed geometry. The functional is PBE.

Lattice parameters (Å, degrees): 7.9799 7.9799 4.6166 90.00 90.00 90.00
Space group P4/mbm (No. 127)
Symmetry-distinct sites (fractional):
Ba  0.1750  0.3250  0.0000 [4 per cell]
In  0.0000  0.0000  0.5000 [2 per cell]
Pd  0.1270  0.6270  0.5000 [4 per cell]

Properties
**Magnetization**: 0.0000 μB per atom
**E_tot**: -3.9034 eV per atom
**Formation energy**: -0.51 eV/atom

***

Question: Which value of magnetization does entry 5 give?
Answer: 0.0000 μB per atom

***

Question: The highest E_tot belongs to which entry?
Answer: Ba2InPd2

***

Please write out number 2 again, unchanged.
This record from Alexandria via LeMat-Bulk describes crystalline KCo2As at its relaxed geometry. The functional is PBE.

Lattice parameters (Å, degrees): 7.1683 4.1376 6.4631 90.00 111.91 90.00
Space group C2/m (No. 12)
Symmetry-distinct sites (fractional):
K  0.0000  0.0000  0.0000 [2 per cell]
Co  0.1728  0.0000  0.5181 [4 per cell]
As  0.0000  0.5000  0.5000 [2 per cell]

Properties
**Magnetization**: 0.7918 μB per atom
**E_tot**: -5.0110 eV per atom
**Formation energy**: -0.02 eV/atom